No. 1
VASP calculation (PBE-GGA) on crystalline Pm3ScCo at its relaxed geometry.

Cell lengths 5.3390, 5.3390, 5.3390 Å; angles 90.00, 90.00, 90.00 degrees
Last column: nearest neighbours and their distance in Å.
Sites, in units of the cell vectors:
Sc 0.5000 0.5000 0.5000  12 Pm 3.78
Co 0.0000 0.0000 0.0000  6 Pm 2.67
Pm 0.0000 0.5000 0.0000  2 Co 2.67
Pm 0.0000 0.0000 0.5000  2 Co 2.67
Pm 0.5000 0.0000 0.0000  2 Co 2.67

Calculated values
Total energy ... -26.99 eV per formula unit
Total moment ... 1.3 μB/f.u.
Fermi-level density of states ... 8.85 states/eV/cell

=====

No. 2
VASP calculation (PBE-GGA) on crystalline Pm3ScCo8 at its relaxed geometry.

Cell lengths 5.0819, 5.0819, 8.8257 Å; angles 73.27, 73.27, 60.00 degrees
Last column: nearest neighbours and their distance in Å.
Sites, in units of the cell vectors:
Pm 0.3750 0.3750 0.8751  12 Co 2.98-3.05, 4 Pm 3.13-3.15
Pm 0.9984 0.9984 0.0049  12 Co 2.99-3.09, 1 Sc 3.09, 3 Pm 3.13
Pm 0.5011 0.5011 0.4968  12 Co 2.90-2.98, 3 Sc 3.10, 1 Pm 3.15
Sc 0.8748 0.8748 0.3757  12 Co 2.91-2.98, 4 Pm 3.09-3.10
Co 0.9317 0.4365 0.1952  6 Co 2.48-2.59
Co 0.4456 0.9374 0.6797  6 Co 2.50-2.59
Co 0.4365 0.4365 0.1952  6 Co 2.48-2.59
Co 0.9374 0.9374 0.6797  6 Co 2.50-2.59
Co 0.1884 0.1884 0.4349  6 Co 2.48-2.52
Co 0.6873 0.6873 0.9380  6 Co 2.59
Co 0.4365 0.9317 0.1952  6 Co 2.48-2.59
Co 0.9374 0.4456 0.6797  6 Co 2.50-2.59

Calculated values
Total energy ... -78.90 eV per formula unit
Total moment ... 7.4 μB/f.u.
Fermi-level density of states ... 17.54 states/eV/cell

=====

No. 3
VASP calculation (PBE-GGA) on crystalline PmSc2Co at its relaxed geometry.

Cell lengths 3.5678, 3.5678, 8.9492 Å; angles 78.50, 78.50, 60.00 degrees
Last column: nearest neighbours and their distance in Å.
Sites, in units of the cell vectors:
Sc 0.7209 0.7209 0.8372  3 Co 2.50
Sc 0.2791 0.2791 0.1628  3 Co 2.50
Co 0.0000 0.0000 0.0000  6 Sc 2.50
Pm 0.5000 0.5000 0.5000  6 Pm 3.57, 6 Sc 3.59

Calculated values
Total energy ... -24.55 eV per formula unit
Total moment ... 0.0 μB/f.u.
Fermi-level density of states ... 4.67 states/eV/cell

=====

No. 4
VASP calculation (PBE-GGA) on crystalline Pm2ScCo9 at its relaxed geometry.

Cell lengths 4.9214, 4.9214, 8.7749 Å; angles 73.71, 73.71, 60.00 degrees
Last column: nearest neighbours and their distance in Å.
Sites, in units of the cell vectors:
Pm 0.8616 0.8616 0.4153  9 Co 2.88-2.93, 3 Pm 3.17
Pm 0.1384 0.1384 0.5847  9 Co 2.88-2.93, 3 Pm 3.17
Sc 0.0000 0.0000 0.0000  18 Co 2.84-3.14
Co 0.6664 0.6664 0.0007  6 Co 2.40-2.42
Co 0.3336 0.3336 0.9993  6 Co 2.40-2.42
Co 0.5000 0.5000 0.5000  6 Co 2.62, 6 Pm 2.93
Co 0.4226 0.4226 0.2344  7 Co 2.40-2.62
Co 0.9203 0.4226 0.2344  7 Co 2.40-2.62
Co 0.4226 0.9203 0.2344  7 Co 2.40-2.62
Co 0.5774 0.5774 0.7655  7 Co 2.40-2.62
Co 0.5774 0.0797 0.7655  7 Co 2.40-2.62
Co 0.0797 0.5774 0.7655  7 Co 2.40-2.62

Calculated values
Total energy ... -80.93 eV per formula unit
Total moment ... 10.3 μB/f.u.
Fermi-level density of states ... 16.09 states/eV/cell

=====

No. 5
VASP calculation (PBE-GGA) on crystalline PmSc2Co at its relaxed geometry.

Cell lengths 3.6905, 3.6905, 8.4534 Å; angles 77.39, 77.39, 60.00 degrees
Last column: nearest neighbours and their distance in Å.
Sites, in units of the cell vectors:
Pm 0.5011 0.5011 0.4967  6 Sc 3.47-3.54, 6 Pm 3.69
Sc 0.0527 0.0527 0.8418  3 Co 2.49
Sc 0.2793 0.2793 0.1621  3 Co 2.51
Co 0.6669 0.6669 0.9994  6 Sc 2.49-2.51

Calculated values
Total energy ... -24.64 eV per formula unit
Total moment ... 0.0 μB/f.u.
Fermi-level density of states ... 4.04 states/eV/cell

=====

No. 6
VASP calculation (PBE-GGA) on crystalline PmSc2Co at its relaxed geometry.

Cell lengths 3.2313, 3.2313, 8.4133 Å; angles 90.00, 90.00, 90.00 degrees
Last column: nearest neighbours and their distance in Å.
Sites, in units of the cell vectors:
Sc 0.0000 0.0000 0.8227  4 Co 2.73, 1 Sc 2.98
Sc 0.0000 0.0000 0.1773  4 Co 2.73, 1 Sc 2.98
Co 0.5000 0.5000 0.0000  8 Sc 2.73
Pm 0.5000 0.5000 0.5000  4 Pm 3.23, 8 Sc 3.55

Calculated values
Total energy ... -25.09 eV per formula unit
Total moment ... 0.5 μB/f.u.
Fermi-level density of states ... 4.19 states/eV/cell

=====

No. 7
VASP calculation (PBE-GGA) on crystalline PmScCoSn at its relaxed geometry.

Cell lengths 5.0139, 5.0139, 5.0139 Å; angles 60.00, 60.00, 60.00 degrees
Last column: nearest neighbours and their distance in Å.
Sites, in units of the cell vectors:
Sc 0.2500 0.2500 0.2500  4 Sn 3.07, 4 Co 3.07
Co 0.0000 0.0000 0.0000  4 Pm 3.07, 4 Sc 3.07
Sn 0.5000 0.5000 0.5000  4 Pm 3.07, 4 Sc 3.07
Pm 0.7500 0.7500 0.7500  4 Sn 3.07, 4 Co 3.07

Calculated values
Total energy ... -23.29 eV per formula unit
Total moment ... 1.0 μB/f.u.
Fermi-level density of states ... 2.28 states/eV/cell

=====

No. 8
VASP calculation (PBE-GGA) on crystalline PmScZnCo at its relaxed geometry.

Cell lengths 4.8046, 4.8046, 4.8046 Å; angles 60.00, 60.00, 60.00 degrees
Last column: nearest neighbours and their distance in Å.
Sites, in units of the cell vectors:
Sc 0.2500 0.2500 0.2500  4 Zn 2.94, 4 Co 2.94
Zn 0.0000 0.0000 0.0000  4 Pm 2.94, 4 Sc 2.94
Co 0.5000 0.5000 0.5000  4 Sc 2.94, 4 Pm 2.94
Pm 0.7500 0.7500 0.7500  4 Co 2.94, 4 Zn 2.94

Calculated values
Total energy ... -20.20 eV per formula unit
Total moment ... 0.0 μB/f.u.
Fermi-level density of states ... 2.74 states/eV/cell

=====

No. 9
VASP calculation (PBE-GGA) on crystalline PmCo2Si at its relaxed geometry.

Cell lengths 3.8313, 3.8313, 9.0739 Å; angles 90.00, 90.00, 90.00 degrees
Last column: nearest neighbours and their distance in Å.
Sites, in units of the cell vectors:
Pm 0.5000 0.0000 0.2089  5 Co 2.86-2.88, 4 Si 3.05
Pm 0.0000 0.5000 0.7911  5 Co 2.86-2.88, 4 Si 3.05
Co 0.5000 0.0000 0.8916  1 Si 2.31
Co 0.0000 0.5000 0.1084  1 Si 2.31
Co 0.0000 0.0000 0.5000  4 Si 2.28
Co 0.5000 0.5000 0.5000  4 Si 2.28
Si 0.5000 0.0000 0.6366  5 Co 2.28-2.31
Si 0.0000 0.5000 0.3634  5 Co 2.28-2.31

Calculated values
Raw formation energy ... -0.33 eV/atom
Total energy ... -25.69 eV per formula unit
Total moment ... 0.5 μB/f.u.
Fermi-level density of states ... 7.44 states/eV/cell

=====

No. 10
VASP calculation (PBE-GGA) on crystalline Pm2CoSi at its relaxed geometry.

Cell lengths 3.6929, 4.9195, 4.9195 Å; angles 90.00, 90.00, 90.00 degrees
Last column: nearest neighbours and their distance in Å.
Sites, in units of the cell vectors:
Si 0.5000 0.0000 0.0000  8 Pm 3.08
Co 0.5000 0.5000 0.5000  8 Pm 3.08
Pm 0.0000 0.0000 0.5000  4 Co 3.08, 4 Si 3.08
Pm 0.0000 0.5000 0.0000  4 Co 3.08, 4 Si 3.08

Calculated values
Raw formation energy ... -0.22 eV/atom
Total energy ... -22.92 eV per formula unit
Total moment ... 1.0 μB/f.u.
Fermi-level density of states ... 2.38 states/eV/cell

=====

No. 11
VASP calculation (PBE-GGA) on crystalline Pm3Co4Si4 at its relaxed geometry.

Cell lengths 6.2315, 6.2315, 6.2315 Å; angles 109.47, 109.47, 109.47 degrees
Last column: nearest neighbours and their distance in Å.
Sites, in units of the cell vectors:
Pm 0.5000 0.5000 0.0000  4 Si 2.95, 4 Co 2.97
Pm 0.5000 0.0000 0.5000  4 Si 2.95, 4 Co 2.97
Pm 0.0000 0.5000 0.5000  4 Si 2.95, 4 Co 2.97
Co 0.0000 0.2597 0.0000  4 Si 2.26-2.37
Co 0.0000 0.0000 0.2597  4 Si 2.26-2.37
Co 0.2597 0.0000 0.0000  4 Si 2.26-2.37
Co 0.7403 0.7403 0.7403  4 Si 2.26-2.37
Si 0.0000 0.6216 0.0000  4 Co 2.26-2.37
Si 0.6216 0.0000 0.0000  4 Co 2.26-2.37
Si 0.0000 0.0000 0.6216  4 Co 2.26-2.37
Si 0.3784 0.3784 0.3784  4 Co 2.26-2.37

Calculated values
Raw formation energy ... -0.67 eV/atom
Total energy ... -71.76 eV per formula unit
Total moment ... 1.2 μB/f.u.
Fermi-level density of states ... 6.73 states/eV/cell

=====

No. 12
VASP calculation (PBE-GGA) on crystalline Pm3Co2Si4 at its relaxed geometry.

Cell lengths 4.0435, 5.8877, 7.9970 Å; angles 106.84, 90.00, 110.08 degrees
Last column: nearest neighbours and their distance in Å.
Sites, in units of the cell vectors:
Pm 0.6094 0.2189 0.6884  8 Si 2.98-3.31, 4 Co 3.04-3.30, 1 Pm 3.23
Pm 0.0000 0.0000 0.0000  8 Si 3.05-3.34
Pm 0.3906 0.7811 0.3116  8 Si 2.98-3.31, 4 Co 3.04-3.30, 1 Pm 3.23
Co 0.6982 0.3963 0.3649  4 Si 2.26-2.37
Co 0.3018 0.6037 0.6351  4 Si 2.26-2.37
Si 0.7207 0.4415 0.0800  1 Co 2.37, 2 Si 2.58
Si 0.2793 0.5585 0.9200  1 Co 2.37, 2 Si 2.58
Si 0.8829 0.7659 0.6010  3 Co 2.26-2.32
Si 0.1171 0.2341 0.3990  3 Co 2.26-2.32

Calculated values
Raw formation energy ... -0.71 eV/atom
Total energy ... -56.59 eV per formula unit
Total moment ... 0.0 μB/f.u.
Fermi-level density of states ... 5.01 states/eV/cell